Record 1
VASP calculation (meta-GGA SCAN) on a crystal of FeAsCl2 relaxed with PBEsol.

Lattice parameters (Å, degrees): 3.105 4.894 6.739 111.29 103.32 90.00
Last column: magnetic moment on the atom in μB.
Positions (direct):
1 As 0.125 0.625 0.249  -0.14
2 Fe 0.473 0.473 0.945  3.02
3 Cl 0.063 0.063 0.126  0.02
4 Cl 0.840 0.340 0.680  0.10

Calculated values
Magnetic moment (μB/cell): 3.00
Crystal system: orthorhombic
Uncorrected energy (eV per atom): -13.88

Record 2
VASP calculation (meta-GGA SCAN) on a crystal of FeAsCl2 relaxed with PBEsol.

Lattice parameters (Å, degrees): 3.285 3.285 8.512 90.00 90.00 121.16
Last column: magnetic moment on the atom in μB.
Positions (direct):
1 As 0.500 0.500 0.284  -0.07
2 Fe 0.000 0.000 0.492  3.15
3 Cl 0.000 0.000 0.047  -0.03
4 Cl 0.500 0.500 0.677  0.11

Calculated values
Magnetic moment (μB/cell): 3.15
Crystal system: orthorhombic
Uncorrected energy (eV per atom): -13.67

Record 3
VASP calculation (meta-GGA SCAN) on a crystal of Fe2AsCl relaxed with PBEsol.

Lattice parameters (Å, degrees): 2.995 2.995 7.321 78.20 78.20 60.00
Last column: magnetic moment on the atom in μB.
Positions (direct):
1 As 0.500 0.500 0.500  -0.13
2 Fe 0.248 0.248 0.256  2.77
3 Fe 0.752 0.752 0.744  2.77
4 Cl 0.000 0.000 0.000  0.10

Calculated values
Magnetic moment (μB/cell): 5.39
Crystal system: trigonal
Uncorrected energy (eV per atom): -15.99

Record 4
VASP calculation (meta-GGA SCAN) on a crystal of Fe2AsCl relaxed with PBEsol.

Lattice parameters (Å, degrees): 3.028 3.187 6.152 90.00 90.00 90.00
Last column: magnetic moment on the atom in μB.
Positions (direct):
1 As 0.500 0.000 0.500  -0.07
2 Fe 0.000 0.500 0.688  2.85
3 Fe 0.000 0.500 0.312  2.85
4 Cl 0.500 0.500 0.000  0.08

Calculated values
Magnetic moment (μB/cell): 5.73
Crystal system: orthorhombic
Uncorrected energy (eV per atom): -16.15

Record 5
VASP calculation (meta-GGA SCAN) on a crystal of FeAsCl2 relaxed with PBEsol.

Lattice parameters (Å, degrees): 3.141 3.141 9.503 80.49 80.49 60.00
Positions (direct):
1 As 0.000 0.000 0.000
2 Fe 0.500 0.500 0.500
3 Cl 0.213 0.213 0.362
4 Cl 0.787 0.787 0.638

Calculated values
Magnetic moment (μB/cell): 0.01
Crystal system: trigonal
Uncorrected energy (eV per atom): -13.71

Record 6
VASP calculation (meta-GGA SCAN) on a crystal of FeAsCl2 relaxed with PBEsol.

Lattice parameters (Å, degrees): 3.219 4.725 5.120 107.11 90.00 90.00
Last column: magnetic moment on the atom in μB.
Positions (direct):
1 As 0.500 0.325 0.657  -0.24
2 Fe 0.000 0.526 0.996  2.61
3 Cl 0.000 0.008 0.992  0.02
4 Cl 0.500 0.641 0.355  0.01

Calculated values
Magnetic moment (μB/cell): 2.26
Crystal system: monoclinic
Uncorrected energy (eV per atom): -13.90

Record 7
VASP calculation (meta-GGA SCAN) on a crystal of FeAsCl relaxed with PBEsol.

Lattice parameters (Å, degrees): 4.035 4.035 4.035 60.00 60.00 60.00
Last column: magnetic moment on the atom in μB.
Positions (direct):
1 As 0.000 0.000 0.000  -0.24
2 Fe 0.750 0.750 0.750  0.81
3 Cl 0.500 0.500 0.500  -0.09

Calculated values
Magnetic moment (μB/cell): 0.31
Crystal system: cubic
Uncorrected energy (eV per atom): -15.08

Record 8
VASP calculation (meta-GGA SCAN) on a crystal of FeAsSCl2 relaxed with PBEsol.

Lattice parameters (Å, degrees): 4.640 4.406 4.406 90.00 90.00 90.00
Last column: magnetic moment on the atom in μB.
Positions (direct):
1 S 0.500 0.000 0.000  0.12
2 As 0.500 0.500 0.500  -0.71
3 Fe 0.000 0.000 0.000  2.91
4 Cl 0.000 0.000 0.500  0.04
5 Cl 0.000 0.500 0.000  0.04

Calculated values
Magnetic moment (μB/cell): 1.85
Crystal system: tetragonal
Uncorrected energy (eV per atom): -12.64

Record 9
VASP calculation (meta-GGA SCAN) on a crystal of Mn2GaAsCl relaxed with PBEsol.

Lattice parameters (Å, degrees): 4.689 4.689 5.286 90.00 90.00 90.00
Last column: magnetic moment on the atom in μB.
Positions (direct):
1 As 0.000 0.000 0.000  -0.12
2 Mn 0.000 0.500 0.000  4.10
3 Mn 0.500 0.000 0.000  4.10
4 Ga 0.000 0.000 0.500  -0.03
5 Cl 0.500 0.500 0.500  0.09

Calculated values
Magnetic moment (μB/cell): 8.48
Crystal system: tetragonal
Uncorrected energy (eV per atom): -16.14

Record 10
VASP calculation (meta-GGA SCAN) on a crystal of GaAsP2Cl relaxed with PBEsol.

Lattice parameters (Å, degrees): 4.509 4.716 4.716 90.00 90.00 90.00
Positions (direct):
1 P 0.000 0.000 0.500
2 P 0.000 0.500 0.000
3 As 0.500 0.500 0.500
4 Ga 0.000 0.000 0.000
5 Cl 0.500 0.000 0.000

Calculated values
Magnetic moment (μB/cell): 0.00
Crystal system: tetragonal
Uncorrected energy (eV per atom): -12.33

Record 11
VASP calculation (meta-GGA SCAN) on a crystal of GaAsPd2Cl relaxed with PBEsol.

Lattice parameters (Å, degrees): 4.608 4.608 5.269 90.00 90.00 90.00
Positions (direct):
1 As 0.000 0.000 0.000
2 Ga 0.500 0.500 0.500
3 Pd 0.000 0.500 0.000
4 Pd 0.500 0.000 0.000
5 Cl 0.000 0.000 0.500

Calculated values
Magnetic moment (μB/cell): 0.00
Crystal system: tetragonal
Uncorrected energy (eV per atom): -21.91

Record 12
VASP calculation (meta-GGA SCAN) on a crystal of GeAsPCl2 relaxed with PBEsol.

Lattice parameters (Å, degrees): 4.741 4.741 5.020 90.00 90.00 90.00
Positions (direct):
1 P 0.000 0.000 0.500
2 As 0.000 0.000 0.000
3 Ge 0.500 0.500 0.500
4 Cl 0.000 0.500 0.000
5 Cl 0.500 0.000 0.000

Calculated values
Magnetic moment (μB/cell): 0.00
Crystal system: tetragonal
Uncorrected energy (eV per atom): -12.73